# LiLa2Pu, relaxed, DFT PBE
# E_tot ... -6.388 eV per atom
# Mass density ... 7.39 g/cm³
# Energy above the lowest structure with this stoichiometry ... 0 meV per atom
# Calculated formation energy ... 137 meV per atom
# D(E_F) ... 9.058 states/eV per cell
data_LiLa2Pu
_chemical_formula_sum 'Li1 La2 Pu1'
_symmetry_space_group_name_H-M 'P 1'
_symmetry_Int_Tables_number 1
_cell_length_a 3.553
_cell_length_b 5.784
_cell_length_c 5.784
_cell_angle_alpha 90.00
_cell_angle_beta 90.00
_cell_angle_gamma 90.00
loop_
_symmetry_equiv_pos_as_xyz
'x,y,z'
loop_
_atom_site_label
_atom_site_type_symbol
_atom_site_fract_x
_atom_site_fract_y
_atom_site_fract_z
La1 La 0.000 0.000 0.500
La2 La 0.000 0.500 0.000
Li1 Li 0.500 0.500 0.500
Pu1 Pu 0.500 0.000 0.000

# LiLaPu, relaxed, DFT PBE
# E_tot ... -6.807 eV per atom
# Mass density ... 7.74 g/cm³
# Energy above the lowest structure with this stoichiometry ... 0 meV per atom
# Calculated formation energy ... 251 meV per atom
# D(E_F) ... 9.283 states/eV per cell
data_LiLaPu
_chemical_formula_sum 'Li1 La1 Pu1'
_symmetry_space_group_name_H-M 'P 1'
_symmetry_Int_Tables_number 1
_cell_length_a 3.448
_cell_length_b 3.448
_cell_length_c 7.447
_cell_angle_alpha 103.38
_cell_angle_beta 103.38
_cell_angle_gamma 90.00
loop_
_symmetry_equiv_pos_as_xyz
'x,y,z'
loop_
_atom_site_label
_atom_site_type_symbol
_atom_site_fract_x
_atom_site_fract_y
_atom_site_fract_z
Li1 Li 0.006 0.006 0.012
Pu1 Pu 0.660 0.660 0.319
La1 La 0.334 0.334 0.669

# LiLaPuRh, relaxed, DFT PBE
# E_tot ... -7.331 eV per atom
# Mass density ... 8.99 g/cm³
# Calculated formation energy ... -200 meV per atom
# D(E_F) ... 9.186 states/eV per cell
data_LiLaPuRh
_chemical_formula_sum 'Li1 La1 Pu1 Rh1'
_symmetry_space_group_name_H-M 'P 1'
_symmetry_Int_Tables_number 1
_cell_length_a 5.050
_cell_length_b 5.050
_cell_length_c 5.050
_cell_angle_alpha 60.00
_cell_angle_beta 60.00
_cell_angle_gamma 60.00
loop_
_symmetry_equiv_pos_as_xyz
'x,y,z'
loop_
_atom_site_label
_atom_site_type_symbol
_atom_site_fract_x
_atom_site_fract_y
_atom_site_fract_z
Pu1 Pu 0.000 0.000 0.000
Li1 Li 0.250 0.250 0.250
La1 La 0.500 0.500 0.500
Rh1 Rh 0.750 0.750 0.750

# LiLa2PuS5, relaxed, DFT PBE
# E_tot ... -7.062 eV per atom
# Mass density ... 5.63 g/cm³
# D(E_F) ... 25.156 states/eV per cell
# Energy relative to the elements, uncorrected ... -1868 meV/atom
data_LiLa2PuS5
_chemical_formula_sum 'Li2 La4 Pu2 S10'
_symmetry_space_group_name_H-M 'P 1'
_symmetry_Int_Tables_number 1
_cell_length_a 4.068
_cell_length_b 8.580
_cell_length_c 11.994
_cell_angle_alpha 90.00
_cell_angle_beta 90.00
_cell_angle_gamma 103.71
loop_
_symmetry_equiv_pos_as_xyz
'x,y,z'
loop_
_atom_site_label
_atom_site_type_symbol
_atom_site_fract_x
_atom_site_fract_y
_atom_site_fract_z
Pu1 Pu 0.199 0.398 0.004
Pu2 Pu 0.801 0.602 0.504
S1 S 0.364 0.728 0.000
S2 S 0.500 0.000 0.781
S3 S 0.307 0.615 0.349
S4 S 0.046 0.093 0.067
S5 S 0.693 0.385 0.849
S6 S 0.290 0.580 0.658
S7 S 0.500 0.000 0.281
S8 S 0.710 0.420 0.158
S9 S 0.636 0.272 0.500
S10 S 0.954 0.907 0.567
Li1 Li 0.483 0.967 0.479
Li2 Li 0.517 0.033 0.979
La1 La 0.891 0.781 0.185
La2 La 0.124 0.248 0.301
La3 La 0.109 0.219 0.685
La4 La 0.876 0.752 0.801

# LiLaPu2S4, relaxed, DFT PBE
# E_tot ... -8.265 eV per atom
# Mass density ... 6.93 g/cm³
# D(E_F) ... 15.481 states/eV per cell
# Energy relative to the elements, uncorrected ... -1764 meV/atom
data_LiLaPu2S4
_chemical_formula_sum 'Li1 La1 Pu2 S4'
_symmetry_space_group_name_H-M 'P 1'
_symmetry_Int_Tables_number 1
_cell_length_a 4.022
_cell_length_b 6.890
_cell_length_c 6.992
_cell_angle_alpha 109.54
_cell_angle_beta 90.00
_cell_angle_gamma 90.00
loop_
_symmetry_equiv_pos_as_xyz
'x,y,z'
loop_
_atom_site_label
_atom_site_type_symbol
_atom_site_fract_x
_atom_site_fract_y
_atom_site_fract_z
S1 S 0.000 0.253 0.745
S2 S 0.000 0.747 0.255
S3 S 0.500 0.260 0.259
S4 S 0.500 0.740 0.741
Pu1 Pu 0.000 0.500 0.500
Pu2 Pu 0.500 0.000 0.500
La1 La 0.000 0.000 0.000
Li1 Li 0.500 0.500 0.000

# LiLa3Pu3S8, relaxed, DFT PBE
# E_tot ... -8.005 eV per atom
# Mass density ... 6.31 g/cm³
# D(E_F) ... 37.590 states/eV per cell
# Energy relative to the elements, uncorrected ... -1824 meV/atom
data_LiLa3Pu3S8
_chemical_formula_sum 'Li1 La3 Pu3 S8'
_symmetry_space_group_name_H-M 'P 1'
_symmetry_Int_Tables_number 1
_cell_length_a 8.052
_cell_length_b 8.052
_cell_length_c 8.089
_cell_angle_alpha 119.99
_cell_angle_beta 89.92
_cell_angle_gamma 119.94
loop_
_symmetry_equiv_pos_as_xyz
'x,y,z'
loop_
_atom_site_label
_atom_site_type_symbol
_atom_site_fract_x
_atom_site_fract_y
_atom_site_fract_z
Pu1 Pu 0.500 0.500 0.500
Pu2 Pu 0.500 0.000 0.500
Pu3 Pu 0.000 0.500 0.500
S1 S 0.746 0.490 0.736
S2 S 0.758 0.516 0.266
S3 S 0.242 0.484 0.734
S4 S 0.254 0.510 0.264
S5 S 0.244 0.989 0.733
S6 S 0.756 0.011 0.267
S7 S 0.249 0.008 0.266
S8 S 0.751 0.992 0.734
La1 La 0.000 0.500 0.000
La2 La 0.000 0.000 0.000
La3 La 0.500 0.500 0.000
Li1 Li 0.000 0.000 0.500

- Look up the mass density of the sixth one.
  6.31 g/cm³

- Among the records above, which one has the highest mass density?
  LiLaPuRh

- Look up the mass density of the fifth one.
  6.93 g/cm³